Entry 1:
Density functional theory data (PBE-GGA) for a relaxed LaFe2Pd crystal.

```
data_LaFe2Pd
_symmetry_space_group_name_H-M 'I -4 2 d'
_symmetry_Int_Tables_number 122
_symmetry_space_group_name_Hall 'I -4 2bw'
_cell_length_a 4.426
_cell_length_b 4.426
_cell_length_c 18.100
_cell_angle_alpha 90.00
_cell_angle_beta 90.00
_cell_angle_gamma 90.00
loop_
_atom_site_label
_atom_site_type_symbol
_atom_site_fract_x
_atom_site_fract_y
_atom_site_fract_z
La1 La 0.000 0.000 0.000
Fe1 Fe 0.013 0.250 0.625
Pd1 Pd 0.000 0.000 0.500
```

calculated density	6.7	g/cm3
formation energy from the elements	0.215	eV per atom
spin magnetization	4.81	μB/f.u.

=====

Entry 2:
Density functional theory data (PBE-GGA) for a relaxed LaFePd3 crystal.

```
data_LaFePd3
_symmetry_space_group_name_H-M 'P m -3 m'
_symmetry_Int_Tables_number 221
_symmetry_space_group_name_Hall '-P 4 2 3'
_cell_length_a 5.079
_cell_length_b 5.079
_cell_length_c 5.079
_cell_angle_alpha 90.00
_cell_angle_beta 90.00
_cell_angle_gamma 90.00
loop_
_atom_site_label
_atom_site_type_symbol
_atom_site_fract_x
_atom_site_fract_y
_atom_site_fract_z
La1 La 0.000 0.000 0.000
Fe1 Fe 0.500 0.500 0.500
Pd1 Pd 0.000 0.000 0.500
```

ΔE to the lowest computed polymorph	1436	meV per atom
calculated density	6.5	g/cm3
formation energy from the elements	1.329	eV per atom
spin magnetization	0.29	μB/f.u.

=====

Entry 3:
Density functional theory data (PBE-GGA) for a relaxed La2FePdS crystal.

```
data_La2FePdS
_symmetry_space_group_name_H-M 'P 4/m m m'
_symmetry_Int_Tables_number 123
_symmetry_space_group_name_Hall '-P 4 2'
_cell_length_a 5.310
_cell_length_b 5.310
_cell_length_c 4.419
_cell_angle_alpha 90.00
_cell_angle_beta 90.00
_cell_angle_gamma 90.00
loop_
_atom_site_label
_atom_site_type_symbol
_atom_site_fract_x
_atom_site_fract_y
_atom_site_fract_z
La1 La 0.000 0.500 0.000
Fe1 Fe 0.000 0.000 0.000
Pd1 Pd 0.000 0.000 0.500
S1 S 0.500 0.500 0.500
```

calculated density	6.3	g/cm3
formation energy (no corrections)	-422.6	meV/atom
spin magnetization	0.07	μB/f.u.

=====

Entry 4:
Density functional theory data (PBE-GGA) for a relaxed LaScFePd2 crystal.

```
data_LaScFePd2
_symmetry_space_group_name_H-M 'P 4/m m m'
_symmetry_Int_Tables_number 123
_symmetry_space_group_name_Hall '-P 4 2'
_cell_length_a 4.918
_cell_length_b 4.918
_cell_length_c 4.520
_cell_angle_alpha 90.00
_cell_angle_beta 90.00
_cell_angle_gamma 90.00
loop_
_atom_site_label
_atom_site_type_symbol
_atom_site_fract_x
_atom_site_fract_y
_atom_site_fract_z
La1 La 0.000 0.000 0.000
Sc1 Sc 0.500 0.500 0.000
Fe1 Fe 0.000 0.000 0.500
Pd1 Pd 0.000 0.500 0.500
```

calculated density	6.9	g/cm3
formation energy from the elements	0.185	eV per atom
spin magnetization	1.10	μB/f.u.

=====

Entry 5:
Density functional theory data (PBE-GGA) for a relaxed LaFeSn2Pd crystal.

```
data_LaFeSn2Pd
_symmetry_space_group_name_H-M 'P 4/m m m'
_symmetry_Int_Tables_number 123
_symmetry_space_group_name_Hall '-P 4 2'
_cell_length_a 5.089
_cell_length_b 5.089
_cell_length_c 5.403
_cell_angle_alpha 90.00
_cell_angle_beta 90.00
_cell_angle_gamma 90.00
loop_
_atom_site_label
_atom_site_type_symbol
_atom_site_fract_x
_atom_site_fract_y
_atom_site_fract_z
La1 La 0.000 0.000 0.000
Fe1 Fe 0.500 0.500 0.000
Sn1 Sn 0.000 0.500 0.500
Pd1 Pd 0.000 0.000 0.500
```

calculated density	6.4	g/cm3
formation energy from the elements	0.515	eV per atom
spin magnetization	0.04	μB/f.u.

=====

Entry 6:
Density functional theory data (PBE-GGA) for a relaxed La2VFePd crystal.

```
data_La2VFePd
_symmetry_space_group_name_H-M 'P 4/m m m'
_symmetry_Int_Tables_number 123
_symmetry_space_group_name_Hall '-P 4 2'
_cell_length_a 5.657
_cell_length_b 5.657
_cell_length_c 4.647
_cell_angle_alpha 90.00
_cell_angle_beta 90.00
_cell_angle_gamma 90.00
loop_
_atom_site_label
_atom_site_type_symbol
_atom_site_fract_x
_atom_site_fract_y
_atom_site_fract_z
La1 La 0.000 0.500 0.000
V1 V 0.000 0.000 0.500
Fe1 Fe 0.500 0.500 0.500
Pd1 Pd 0.000 0.000 0.000
```

calculated density	5.5	g/cm3
formation energy from the elements	0.762	eV per atom
spin magnetization	1.67	μB/f.u.

=====

Entry 7:
Density functional theory data (PBE-GGA) for a relaxed LaPmFe crystal.

```
data_LaPmFe
_symmetry_space_group_name_H-M 'I 4 m m'
_symmetry_Int_Tables_number 107
_symmetry_space_group_name_Hall 'I 4 -2'
_cell_length_a 3.496
_cell_length_b 3.496
_cell_length_c 13.423
_cell_angle_alpha 90.00
_cell_angle_beta 90.00
_cell_angle_gamma 90.00
loop_
_atom_site_label
_atom_site_type_symbol
_atom_site_fract_x
_atom_site_fract_y
_atom_site_fract_z
La1 La 0.000 0.000 0.000
Pm1 Pm 0.000 0.000 0.250
Fe1 Fe 0.000 0.000 0.628
```

calculated density	6.9	g/cm3
formation energy from the elements	0.166	eV per atom
spin magnetization	0.98	μB/f.u.

=====

Entry 8:
Density functional theory data (PBE-GGA) for a relaxed LaPm3Fe crystal.

```
data_LaPm3Fe
_symmetry_space_group_name_H-M 'P m -3 m'
_symmetry_Int_Tables_number 221
_symmetry_space_group_name_Hall '-P 4 2 3'
_cell_length_a 5.426
_cell_length_b 5.426
_cell_length_c 5.426
_cell_angle_alpha 90.00
_cell_angle_beta 90.00
_cell_angle_gamma 90.00
loop_
_atom_site_label
_atom_site_type_symbol
_atom_site_fract_x
_atom_site_fract_y
_atom_site_fract_z
La1 La 0.000 0.000 0.000
Pm1 Pm 0.000 0.500 0.500
Fe1 Fe 0.500 0.500 0.500
```

calculated density	6.5	g/cm3
formation energy from the elements	0.179	eV per atom
spin magnetization	0.74	μB/f.u.

=====

Going through the records in order, we get volume values of 22.164, 26.208, 24.923, 21.859, 27.988, 29.744, 27.343, 31.949 Å³ per atom.
Going through the records in order, we get electronic total energy values of -104.7, -22.3, -29.8, -29.2, -24.0, -28.8, -35.3, -26.7 eV per cell.